Computed, not measured: a relaxed structure of CrPbO4 at the PBE+U level of DFT.

Computed properties:
Calculated total energy in eV/atom: -6.4631
Symmetry: I4_1/amd
Excess energy over the best structure of this formula in the dataset in eV per formula unit: 0.00
Fermi-level density of states in states/eV per cell: 0.0

Cell: 6.3637 6.3637 6.3637 Å, 105.64 105.64 117.43°
Atoms (fractional coordinates):
Cr: 0.3750 0.6250 0.7500
Cr: 0.6250 0.3750 0.2500
Pb: 0.1250 0.8750 0.2500
Pb: 0.8750 0.1250 0.7500
O: 0.2206 0.2983 0.5777
O: 0.2206 0.6429 0.9223
O: 0.2983 0.2206 0.0777
O: 0.3571 0.7794 0.5777
O: 0.6429 0.2206 0.4223
O: 0.7017 0.7794 0.9223
O: 0.7794 0.3571 0.0777
O: 0.7794 0.7017 0.4223